The following is a GGA-PBE calculation of Ce3GePb after structural relaxation, from Alexandria.

abc: 6.2518 10.0485 10.0497
angles: 109.93 90.00 90.00
Each line ends with the local moment (μB).
Atoms (fractional coordinates):
Ce 0.2499 0.3501 0.6497  0.85
Ce 0.2501 0.8501 0.1497  0.85
Ce 0.5216 0.2369 0.2630  0.56
Ce 0.0216 0.2631 0.2370  0.56
Ce 0.4784 0.7631 0.7370  0.56
Ce 0.7501 0.6499 0.3503  0.85
Ce 0.7211 0.0784 0.4216  0.68
Ce 0.2789 0.9216 0.5784  0.68
Ce 0.7499 0.1499 0.8503  0.85
Ce 0.9784 0.7369 0.7630  0.56
Ce 0.7789 0.5784 0.9216  0.68
Ce 0.2211 0.4216 0.0784  0.68
Ge 0.7133 0.4036 0.0966  -0.03
Ge 0.2133 0.0964 0.4034  -0.03
Ge 0.2867 0.5964 0.9034  -0.03
Ge 0.7867 0.9036 0.5966  -0.03
Pb 0.2501 0.5706 0.4294  -0.03
Pb 0.7499 0.4294 0.5706  -0.03
Pb 0.2499 0.0706 0.9294  -0.03
Pb 0.7501 0.9294 0.0706  -0.03

## Properties
DFT formation energy: -411 meV/atom
Crystal system: orthorhombic
SG: Cmce